The following is a GGA+U calculation of an optimized crystal structure of CdCoF, from Alexandria.

Properties
Space-group type: Pm
Total energy in eV per atom: -3.322

Lattice parameters (Å, degrees): 3.386 3.085 9.086 90.00 90.10 90.00
Atoms (fractional coordinates):
Co 0.661 0.000 0.796
Co 0.160 0.500 0.659
Cd 0.660 0.000 0.486
Cd 0.657 0.500 0.207
F 0.156 0.000 0.132
F 0.656 0.500 0.940